1.
The following is a DFT calculation (PBE) of a relaxed CaSi2Os crystal.

```
CaSi2Os
1.0
5.003 0.000 -0.003
0.000 3.062 0.000
-2.225 0.000 5.095
Ca Si Os
1 2 1
direct
0.500 0.500 0.500 Ca
0.849 0.500 0.129 Si
0.151 0.500 0.871 Si
0.000 0.000 0.500 Os
```

## Properties
Space group: P2/m (10)
DOS at the Fermi energy in states/eV/cell: 2.05
Energy in eV/atom: -6.075



2.
The following is a DFT calculation (PBE) of a relaxed Li3Ag2Bi2 crystal.

```
Li3Ag2Bi2
1.0
-1.998 -4.164 1.458
5.847 -4.205 -3.999
4.493 1.246 1.671
Li Ag Bi
3 2 2
direct
0.000 0.000 0.000 Li
0.655 0.372 0.311 Li
0.345 0.628 0.689 Li
0.015 0.661 0.029 Ag
0.985 0.339 0.971 Ag
0.639 0.771 0.277 Bi
0.361 0.229 0.723 Bi
```

## Properties
Space group: C2/m (12)
DOS at the Fermi energy in states/eV/cell: 2.03
Energy in eV/atom: -2.997
E_form in eV per atom: -0.254
E above lowest polymorph in meV per atom: 35



3.
The following is a DFT calculation (PBE) of a relaxed ScTcCl2 crystal.

```
ScTcCl2
1.0
-0.331 -2.292 -4.109
2.510 -3.929 -0.718
-2.172 -4.183 -0.199
Sc Tc Cl
1 1 2
direct
0.500 0.500 0.500 Sc
0.750 0.750 0.750 Tc
0.000 0.000 0.000 Cl
0.250 0.250 0.250 Cl
```

## Properties
Space group: F-43m (216)
DOS at the Fermi energy in states/eV/cell: 3.60
Energy in eV/atom: -4.890
E above lowest polymorph in meV per atom: 913



4.
The following is a DFT calculation (PBE) of a relaxed KRbSiC2 crystal.

```
KRbSiC2
1.0
-1.856 -1.993 -4.851
-3.338 -4.141 2.978
-4.269 3.563 0.169
C K Si Rb
2 1 1 1
direct
0.000 0.000 0.500 C
0.500 0.000 0.000 C
0.000 0.000 0.000 K
0.000 0.500 0.000 Si
0.500 0.500 0.500 Rb
```

## Properties
Space group: P4/mmm (123)
DOS at the Fermi energy in states/eV/cell: 7.38
Energy in eV/atom: -2.413



no.,total magnetic moment (Bohr magnetons per cell),V (Å³ per atom)
1,0.0,19.5
2,0.0,22.5
3,2.1,18.6
4,2.8,37.7